The following is a DFT calculation (PBE-GGA) of a relaxed CaCu2TcPb crystal.

a = 4.829 Å, b = 5.134 Å, c = 4.829 Å
α = 90.00°, β = 90.00°, γ = 90.00°
Atoms (fractional coordinates):
Pb 0.000 0.500 0.000
Ca 0.500 0.500 0.500
Tc 0.000 0.000 0.000
Cu 0.000 0.000 0.500
Cu 0.500 0.000 0.000

## Properties
The value obtained for the formation energy is 49.3 kJ per mole of atoms.

***

The following is a DFT calculation (PBE-GGA) of a relaxed Tm7Hg4O crystal.

a = 4.851 Å, b = 8.694 Å, c = 8.307 Å
α = 77.98°, β = 73.02°, γ = 73.80°
Atoms (fractional coordinates):
Tm 0.785 0.850 0.581
Tm 0.215 0.150 0.419
Tm 0.053 0.756 0.138
Tm 0.947 0.244 0.862
Tm 0.372 0.548 0.708
Tm 0.500 0.000 0.000
Tm 0.628 0.452 0.292
Hg 0.585 0.203 0.627
Hg 0.415 0.797 0.373
Hg 0.729 0.626 0.917
Hg 0.271 0.374 0.083
O 0.000 0.000 0.000

## Properties
The formation energy (no corrections) is -7.55 eV/f.u.

***

The following is a DFT calculation (PBE-GGA) of a relaxed Cr2Ni2Rh5 crystal.

a = 3.756 Å, b = 6.991 Å, c = 5.931 Å
α = 53.69°, β = 71.54°, γ = 74.42°
Site moments in Bohr magnetons follow the coordinates.
Atoms (fractional coordinates):
Cr 0.115 0.331 0.440  1.54
Cr 0.885 0.669 0.560  1.54
Ni 0.450 0.340 0.761  -0.11
Ni 0.550 0.660 0.239  -0.11
Rh 0.336 0.996 0.332  -0.24
Rh 0.664 0.004 0.668  -0.24
Rh 0.226 0.661 0.886  -0.19
Rh 0.774 0.339 0.114  -0.19
Rh 0.000 0.000 0.000  -0.21

## Properties
The value obtained for the formation energy is -1.8 kJ per mole of atoms.

***

The following is a DFT calculation (PBE-GGA) of a relaxed La12NdTm5 crystal.

a = 10.896 Å, b = 11.008 Å, c = 6.367 Å
α = 72.91°, β = 90.00°, γ = 60.34°
Atoms (fractional coordinates):
La 0.828 0.000 0.500
La 0.172 0.000 0.500
La 0.668 0.000 0.000
La 0.332 0.000 0.000
La 0.338 0.666 0.999
La 0.996 0.666 0.999
La 0.004 0.334 0.001
La 0.662 0.334 0.001
La 0.504 0.333 0.501
La 0.837 0.666 0.499
La 0.163 0.334 0.501
La 0.496 0.667 0.499
Nd 0.000 0.000 0.000
Tm 0.500 0.000 0.500
Tm 0.168 0.664 0.504
Tm 0.832 0.336 0.496
Tm 0.667 0.667 0.999
Tm 0.333 0.333 0.001

## Properties
The value obtained for the formation energy is 1.9 kJ per mole of atoms.

***

no.,total moment (μB per atom),DOS(E_F) (states/eV/f.u.)
1,0.00,3.77
2,0.00,12.18
3,0.22,11.38
4,0.00,26.06